A plane-wave DFT calculation with PBE-GGA was carried out for an optimized crystal structure of ZrAgPd2.

Output
Final energy (eV per cell): -90.34
ΔH_f (0 K) (kcal/mol of atoms): -4.61
Volume (Å³ per cell): 305.9
Size of the total moment (μB/f.u.): 0.00
Space group: Cmcm (63)

Geometry as CIF:
```
data_ZrAgPd2
_symmetry_space_group_name_H-M 'P 1'
_symmetry_Int_Tables_number 1
_symmetry_space_group_name_Hall 'P 1'
_cell_length_a 2.967
_cell_length_b 21.483
_cell_length_c 4.800
_cell_angle_alpha 90.00
_cell_angle_beta 90.00
_cell_angle_gamma 90.00
loop_
_atom_site_label
_atom_site_type_symbol
_atom_site_fract_x
_atom_site_fract_y
_atom_site_fract_z
_atom_site_occupancy
Zr1 Zr 0.000 0.202 0.250 1
Zr2 Zr 0.000 0.798 0.750 1
Zr3 Zr 0.500 0.298 0.750 1
Zr4 Zr 0.500 0.702 0.250 1
Ag1 Ag 0.000 0.465 0.250 1
Ag2 Ag 0.000 0.535 0.750 1
Ag3 Ag 0.500 0.035 0.750 1
Ag4 Ag 0.500 0.965 0.250 1
Pd1 Pd 0.000 0.329 0.250 1
Pd2 Pd 0.000 0.404 0.750 1
Pd3 Pd 0.000 0.596 0.250 1
Pd4 Pd 0.000 0.671 0.750 1
Pd5 Pd 0.500 0.096 0.250 1
Pd6 Pd 0.500 0.171 0.750 1
Pd7 Pd 0.500 0.829 0.250 1
Pd8 Pd 0.500 0.904 0.750 1
```